[1]
Here is a geometry-optimized AgRu2Pt structure from Alexandria. Energies are from GGA-PBE.

a = 9.2281 Å, b = 2.7433 Å, c = 4.8689 Å
α = 90.00°, β = 99.90°, γ = 90.00°
Closest atoms and distances in Å follow each position.
Fractional positions:
Ag 0.0000 0.0000 0.0000  3 Pt 2.71-2.81, 2 Ag 2.74, 7 Ru 2.74-2.88
Ag 0.5000 0.5000 0.0000  3 Pt 2.71-2.81, 2 Ag 2.74, 7 Ru 2.74-2.88
Ru 0.2579 0.5000 0.2837  5 Ru 2.63-2.77, 4 Pt 2.71-2.88, 3 Ag 2.82-2.88
Ru 0.4948 0.0000 0.4865  5 Ru 2.63-2.77, 4 Ag 2.74-2.84, 3 Pt 2.80-2.86
Ru 0.7579 0.0000 0.2837  5 Ru 2.63-2.77, 4 Pt 2.71-2.88, 3 Ag 2.82-2.88
Ru 0.9948 0.5000 0.4865  5 Ru 2.63-2.77, 4 Ag 2.74-2.84, 3 Pt 2.80-2.86
Pt 0.2436 0.0000 0.7590  3 Ag 2.71-2.81, 7 Ru 2.71-2.88, 2 Pt 2.74
Pt 0.7436 0.5000 0.7590  3 Ag 2.71-2.81, 7 Ru 2.71-2.88, 2 Pt 2.74

Uncorrected energy   -6.578 eV/atom
Offset from the most stable computed form   163.1 meV per atom
Symmetry   Cm, No. 8
Formation enthalpy at 0 K   0.2832 eV per atom
Spin magnetization   0.00 μB/f.u.



[2]
Here is a geometry-optimized Ag2RuPt structure from Alexandria. Energies are from GGA-PBE.

a = 2.7976 Å, b = 2.7976 Å, c = 28.5774 Å
α = 90.00°, β = 90.00°, γ = 120.00°
Closest atoms and distances in Å follow each position.
Fractional positions:
Ag 0.0000 0.0000 0.0000  9 Ag 2.80-2.97, 3 Pt 2.93
Ag 0.0000 0.0000 0.2461  9 Ag 2.80-2.97, 3 Ru 2.89
Ag 0.3333 0.6667 0.6667  9 Ag 2.80-2.97, 3 Pt 2.93
Ag 0.3333 0.6667 0.9127  9 Ag 2.80-2.97, 3 Ru 2.89
Ag 0.6667 0.3333 0.3333  9 Ag 2.80-2.97, 3 Pt 2.93
Ag 0.6667 0.3333 0.5794  9 Ag 2.80-2.97, 3 Ru 2.89
Ru 0.0000 0.0000 0.4954  3 Pt 2.71, 6 Ru 2.80, 3 Ag 2.89
Ru 0.3333 0.6667 0.1620  3 Pt 2.71, 6 Ru 2.80, 3 Ag 2.89
Ru 0.6667 0.3333 0.8287  3 Pt 2.71, 6 Ru 2.80, 3 Ag 2.89
Pt 0.0000 0.0000 0.7524  3 Ru 2.71, 6 Pt 2.80, 3 Ag 2.93
Pt 0.3333 0.6667 0.4191  3 Ru 2.71, 6 Pt 2.80, 3 Ag 2.93
Pt 0.6667 0.3333 0.0857  3 Ru 2.71, 6 Pt 2.80, 3 Ag 2.93

Uncorrected energy   -5.068 eV/atom
Offset from the most stable computed form   11.0 meV per atom
Symmetry   R3m, No. 160
Formation enthalpy at 0 K   0.1864 eV per atom
Spin magnetization   0.00 μB/f.u.



[3]
Here is a geometry-optimized AgRu2Pt structure from Alexandria. Energies are from GGA-PBE.

a = 6.2650 Å, b = 6.2650 Å, c = 6.2650 Å
α = 90.00°, β = 90.00°, γ = 90.00°
Closest atoms and distances in Å follow each position.
Fractional positions:
Ag 0.0000 0.0000 0.0000  8 Ru 2.71
Ag 0.0000 0.5000 0.5000  8 Ru 2.71
Ag 0.5000 0.0000 0.5000  8 Ru 2.71
Ag 0.5000 0.5000 0.0000  8 Ru 2.71
Ru 0.2500 0.2500 0.2500  4 Pt 2.71, 4 Ag 2.71
Ru 0.2500 0.2500 0.7500  4 Pt 2.71, 4 Ag 2.71
Ru 0.2500 0.7500 0.2500  4 Pt 2.71, 4 Ag 2.71
Ru 0.2500 0.7500 0.7500  4 Pt 2.71, 4 Ag 2.71
Ru 0.7500 0.2500 0.2500  4 Pt 2.71, 4 Ag 2.71
Ru 0.7500 0.2500 0.7500  4 Pt 2.71, 4 Ag 2.71
Ru 0.7500 0.7500 0.2500  4 Pt 2.71, 4 Ag 2.71
Ru 0.7500 0.7500 0.7500  4 Pt 2.71, 4 Ag 2.71
Pt 0.0000 0.0000 0.5000  8 Ru 2.71
Pt 0.0000 0.5000 0.0000  8 Ru 2.71
Pt 0.5000 0.0000 0.0000  8 Ru 2.71
Pt 0.5000 0.5000 0.5000  8 Ru 2.71

Uncorrected energy   -6.271 eV/atom
Offset from the most stable computed form   470.2 meV per atom
Symmetry   Fm-3m, No. 225
Formation enthalpy at 0 K   0.5903 eV per atom
Spin magnetization   0.00 μB/f.u.



[4]
Here is a geometry-optimized AgRu2Pt structure from Alexandria. Energies are from GGA-PBE.

a = 9.2503 Å, b = 2.7464 Å, c = 4.8657 Å
α = 90.00°, β = 99.52°, γ = 90.00°
Closest atoms and distances in Å follow each position.
Fractional positions:
Ag 0.0000 0.0000 0.0000  2 Ag 2.75, 6 Ru 2.77-2.87, 4 Pt 2.79
Ag 0.5000 0.5000 0.0000  2 Ag 2.75, 6 Ru 2.77-2.87, 4 Pt 2.79
Ru 0.2423 0.0000 0.7335  6 Ru 2.68-2.92, 3 Pt 2.71-2.80, 3 Ag 2.77-2.87
Ru 0.2577 0.5000 0.2665  6 Ru 2.68-2.92, 3 Pt 2.71-2.80, 3 Ag 2.77-2.87
Ru 0.7423 0.5000 0.7335  6 Ru 2.68-2.92, 3 Pt 2.71-2.80, 3 Ag 2.77-2.87
Ru 0.7577 0.0000 0.2665  6 Ru 2.68-2.92, 3 Pt 2.71-2.80, 3 Ag 2.77-2.87
Pt 0.0000 0.5000 0.5000  6 Ru 2.71-2.80, 2 Pt 2.75, 4 Ag 2.79
Pt 0.5000 0.0000 0.5000  6 Ru 2.71-2.80, 2 Pt 2.75, 4 Ag 2.79

Uncorrected energy   -6.522 eV/atom
Offset from the most stable computed form   218.9 meV per atom
Symmetry   C2/m, No. 12
Formation enthalpy at 0 K   0.3389 eV per atom
Spin magnetization   0.00 μB/f.u.



[5]
Here is a geometry-optimized AgRu2Pt2 structure from Alexandria. Energies are from GGA-PBE.

a = 3.8673 Å, b = 3.8673 Å, c = 11.5429 Å
α = 90.00°, β = 90.00°, γ = 90.00°
Closest atoms and distances in Å follow each position.
Fractional positions:
Ag 0.0000 0.0000 0.0000  8 Ru 2.96
Ag 0.5000 0.5000 0.5000  8 Ru 2.96
Ru 0.0000 0.0000 0.4030  1 Ru 2.24
Ru 0.0000 0.0000 0.5970  1 Ru 2.24
Ru 0.5000 0.5000 0.0970  1 Ru 2.24
Ru 0.5000 0.5000 0.9030  1 Ru 2.24
Pt 0.0000 0.5000 0.2500  4 Ru 2.62, 4 Pt 2.73
Pt 0.0000 0.5000 0.7500  4 Ru 2.62, 4 Pt 2.73
Pt 0.5000 0.0000 0.2500  4 Ru 2.62, 4 Pt 2.73
Pt 0.5000 0.0000 0.7500  4 Ru 2.62, 4 Pt 2.73

Uncorrected energy   -6.241 eV/atom
Offset from the most stable computed form   167.4 meV per atom
Symmetry   I4/mmm, No. 139
Formation enthalpy at 0 K   0.4563 eV per atom
Spin magnetization   0.00 μB/f.u.



[6]
Here is a geometry-optimized AgRu2Pt structure from Alexandria. Energies are from GGA-PBE.

a = 2.7792 Å, b = 4.6897 Å, c = 9.5737 Å
α = 90.00°, β = 90.00°, γ = 90.00°
Closest atoms and distances in Å follow each position.
Fractional positions:
Ag 0.0000 0.0000 0.0000  6 Ag 2.73-2.78, 2 Pt 2.86, 2 Ru 2.87
Ag 0.5000 0.5000 0.0000  6 Ag 2.73-2.78, 2 Pt 2.86, 2 Ru 2.87
Ru 0.0000 0.0000 0.5126  8 Ru 2.57-2.78, 2 Pt 2.78
Ru 0.0000 0.5000 0.7381  8 Ru 2.57-2.78, 2 Ag 2.87
Ru 0.5000 0.0000 0.7381  8 Ru 2.57-2.78, 2 Ag 2.87
Ru 0.5000 0.5000 0.5126  8 Ru 2.57-2.78, 2 Pt 2.78
Pt 0.0000 0.5000 0.2615  6 Pt 2.73-2.78, 2 Ru 2.78, 2 Ag 2.86
Pt 0.5000 0.0000 0.2615  6 Pt 2.73-2.78, 2 Ru 2.78, 2 Ag 2.86

Uncorrected energy   -6.525 eV/atom
Offset from the most stable computed form   216.0 meV per atom
Symmetry   Cmm2, No. 35
Formation enthalpy at 0 K   0.3360 eV per atom
Spin magnetization   1.07 μB/f.u.



[7]
Here is a geometry-optimized AgRu2Pt structure from Alexandria. Energies are from GGA-PBE.

a = 3.9092 Å, b = 3.9092 Å, c = 7.9058 Å
α = 90.00°, β = 90.00°, γ = 90.00°
Closest atoms and distances in Å follow each position.
Fractional positions:
Ag 0.0000 0.0000 0.0000  8 Ru 2.76-2.78, 4 Pt 2.78
Ag 0.5000 0.5000 0.5000  8 Ru 2.76-2.78, 4 Pt 2.78
Ru 0.0000 0.0000 0.5000  4 Ag 2.76, 4 Ru 2.78, 4 Pt 2.78
Ru 0.0000 0.5000 0.2500  4 Pt 2.76, 4 Ru 2.78, 4 Ag 2.78
Ru 0.5000 0.0000 0.7500  4 Pt 2.76, 4 Ru 2.78, 4 Ag 2.78
Ru 0.5000 0.5000 0.0000  4 Ag 2.76, 4 Ru 2.78, 4 Pt 2.78
Pt 0.0000 0.5000 0.7500  8 Ru 2.76-2.78, 4 Ag 2.78
Pt 0.5000 0.0000 0.2500  8 Ru 2.76-2.78, 4 Ag 2.78

Uncorrected energy   -6.519 eV/atom
Offset from the most stable computed form   221.4 meV per atom
Symmetry   I-4m2, No. 119
Formation enthalpy at 0 K   0.3415 eV per atom
Spin magnetization   0.00 μB/f.u.



[8]
Here is a geometry-optimized Ag3RuPt structure from Alexandria. Energies are from GGA-PBE.

a = 5.0357 Å, b = 5.0357 Å, c = 5.0357 Å
α = 90.00°, β = 90.00°, γ = 90.00°
Closest atoms and distances in Å follow each position.
Fractional positions:
Ag 0.0000 0.0000 0.5000  2 Pt 2.52
Ag 0.0000 0.5000 0.0000  2 Pt 2.52
Ag 0.5000 0.0000 0.0000  2 Pt 2.52
Ru 0.5000 0.5000 0.5000  12 Ag 3.56
Pt 0.0000 0.0000 0.0000  6 Ag 2.52

Uncorrected energy   -3.278 eV/atom
Offset from the most stable computed form   0.0 meV per atom
Symmetry   Pm-3m, No. 221
Formation enthalpy at 0 K   1.4957 eV per atom
Spin magnetization   2.78 μB/f.u.



What is the spin magnetization in the seventh record?
0.00 μB/f.u.



Please write out number 1 again, unchanged.
Here is a geometry-optimized AgRu2Pt structure from Alexandria. Energies are from GGA-PBE.

a = 9.2281 Å, b = 2.7433 Å, c = 4.8689 Å
α = 90.00°, β = 99.90°, γ = 90.00°
Closest atoms and distances in Å follow each position.
Fractional positions:
Ag 0.0000 0.0000 0.0000  3 Pt 2.71-2.81, 2 Ag 2.74, 7 Ru 2.74-2.88
Ag 0.5000 0.5000 0.0000  3 Pt 2.71-2.81, 2 Ag 2.74, 7 Ru 2.74-2.88
Ru 0.2579 0.5000 0.2837  5 Ru 2.63-2.77, 4 Pt 2.71-2.88, 3 Ag 2.82-2.88
Ru 0.4948 0.0000 0.4865  5 Ru 2.63-2.77, 4 Ag 2.74-2.84, 3 Pt 2.80-2.86
Ru 0.7579 0.0000 0.2837  5 Ru 2.63-2.77, 4 Pt 2.71-2.88, 3 Ag 2.82-2.88
Ru 0.9948 0.5000 0.4865  5 Ru 2.63-2.77, 4 Ag 2.74-2.84, 3 Pt 2.80-2.86
Pt 0.2436 0.0000 0.7590  3 Ag 2.71-2.81, 7 Ru 2.71-2.88, 2 Pt 2.74
Pt 0.7436 0.5000 0.7590  3 Ag 2.71-2.81, 7 Ru 2.71-2.88, 2 Pt 2.74

Uncorrected energy   -6.578 eV/atom
Offset from the most stable computed form   163.1 meV per atom
Symmetry   Cm, No. 8
Formation enthalpy at 0 K   0.2832 eV per atom
Spin magnetization   0.00 μB/f.u.



Copy entry 4 word for word.
Here is a geometry-optimized AgRu2Pt structure from Alexandria. Energies are from GGA-PBE.

a = 9.2503 Å, b = 2.7464 Å, c = 4.8657 Å
α = 90.00°, β = 99.52°, γ = 90.00°
Closest atoms and distances in Å follow each position.
Fractional positions:
Ag 0.0000 0.0000 0.0000  2 Ag 2.75, 6 Ru 2.77-2.87, 4 Pt 2.79
Ag 0.5000 0.5000 0.0000  2 Ag 2.75, 6 Ru 2.77-2.87, 4 Pt 2.79
Ru 0.2423 0.0000 0.7335  6 Ru 2.68-2.92, 3 Pt 2.71-2.80, 3 Ag 2.77-2.87
Ru 0.2577 0.5000 0.2665  6 Ru 2.68-2.92, 3 Pt 2.71-2.80, 3 Ag 2.77-2.87
Ru 0.7423 0.5000 0.7335  6 Ru 2.68-2.92, 3 Pt 2.71-2.80, 3 Ag 2.77-2.87
Ru 0.7577 0.0000 0.2665  6 Ru 2.68-2.92, 3 Pt 2.71-2.80, 3 Ag 2.77-2.87
Pt 0.0000 0.5000 0.5000  6 Ru 2.71-2.80, 2 Pt 2.75, 4 Ag 2.79
Pt 0.5000 0.0000 0.5000  6 Ru 2.71-2.80, 2 Pt 2.75, 4 Ag 2.79

Uncorrected energy   -6.522 eV/atom
Offset from the most stable computed form   218.9 meV per atom
Symmetry   C2/m, No. 12
Formation enthalpy at 0 K   0.3389 eV per atom
Spin magnetization   0.00 μB/f.u.



Number 1 is which compound?
AgRu2Pt